Co2C after structural relaxation. Source: Alexandria, functional PBE.

abc: 3.766 3.766 2.430
angles: 90.00 90.00 120.00
Element x y z (fractional)
Co (0.333, 0.667, 0.000)
Co (0.667, 0.333, 0.000)
C (0.000, 0.000, 0.500)

Results
- E above lowest polymorph (eV/f.u.) = 4.66